Entry 1:
A plane-wave DFT calculation with PBE was carried out for a relaxed TaNiSn2Se crystal.

Cell lengths 4.8305, 4.8305, 4.8575 Å; angles 90.00, 90.00, 90.00 degrees
With the nearest neighbours (Å) after each atom.
Fractional positions:
Ta: 0.0000 0.0000 0.0000  2 Ni 2.43
Ni: 0.0000 0.0000 0.5000  4 Sn 2.42, 2 Ta 2.43
Sn: 0.0000 0.5000 0.5000  2 Ni 2.42
Sn: 0.5000 0.0000 0.5000  2 Ni 2.42
Se: 0.5000 0.5000 0.0000  4 Ta 3.42, 8 Sn 3.43

## Properties
E_form (uncorrected), eV per formula unit: 2.57

---

Entry 2:
A plane-wave DFT calculation with PBE was carried out for a relaxed Ni2SnTeSe crystal.

Cell lengths 4.6541, 4.6541, 6.1844 Å; angles 90.00, 90.00, 90.00 degrees
With the nearest neighbours (Å) after each atom.
Fractional positions:
Ni: 0.0000 0.5000 0.0000  2 Te 2.33
Ni: 0.5000 0.0000 0.0000  2 Te 2.33
Sn: 0.0000 0.0000 0.5000  2 Te 3.09, 4 Se 3.29
Te: 0.0000 0.0000 0.0000  4 Ni 2.33
Se: 0.5000 0.5000 0.5000  4 Sn 3.29

## Properties
E_form (uncorrected), eV per formula unit: 2.96

---

Entry 3:
A plane-wave DFT calculation with PBE was carried out for a relaxed SrNiSe crystal.

Cell lengths 11.2079, 4.1564, 6.2850 Å; angles 90.00, 92.39, 90.00 degrees
With the nearest neighbours (Å) after each atom.
Fractional positions:
Sr: 0.1375 0.0000 0.2622  5 Se 3.13-3.23, 5 Ni 3.22-3.30
Sr: 0.3625 0.5000 0.7378  5 Se 3.13-3.23, 5 Ni 3.22-3.30
Sr: 0.6375 0.5000 0.2622  5 Se 3.13-3.23, 5 Ni 3.22-3.30
Sr: 0.8625 0.0000 0.7378  5 Se 3.13-3.23, 5 Ni 3.22-3.30
Ni: 0.0741 0.5000 0.6492  2 Se 2.32, 1 Ni 2.45
Ni: 0.4259 0.0000 0.3508  2 Se 2.32, 1 Ni 2.45
Ni: 0.5741 0.0000 0.6492  2 Se 2.32, 1 Ni 2.45
Ni: 0.9259 0.5000 0.3508  2 Se 2.32, 1 Ni 2.45
Se: 0.1429 0.0000 0.7611  2 Ni 2.32
Se: 0.3571 0.5000 0.2389  2 Ni 2.32
Se: 0.6429 0.5000 0.7611  2 Ni 2.32
Se: 0.8571 0.0000 0.2389  2 Ni 2.32

## Properties
E_form (uncorrected), eV per formula unit: -2.70

---

Entry 4:
A plane-wave DFT calculation with PBE was carried out for a relaxed SrNiSe crystal.

Cell lengths 4.1525, 4.1525, 8.6123 Å; angles 90.00, 90.00, 120.00 degrees
With the nearest neighbours (Å) after each atom.
Fractional positions:
Sr: 0.0000 0.0000 0.0000  6 Se 3.22, 6 Ni 3.22
Sr: 0.0000 0.0000 0.5000  6 Se 3.22, 6 Ni 3.22
Ni: 0.3333 0.6667 0.2500  3 Se 2.40
Ni: 0.6667 0.3333 0.7500  3 Se 2.40
Se: 0.3333 0.6667 0.7500  3 Ni 2.40
Se: 0.6667 0.3333 0.2500  3 Ni 2.40

## Properties
E_form (uncorrected), eV per formula unit: -2.90